[1]
Below is a relaxed structure of Pm2EuPt, with properties calculated at the PBE level.

Computed properties:
The crystal system is trigonal. The calculation puts the size of the total moment at 1.969 μB/atom. As for the formation enthalpy at 0 K: -0.506 eV/atom. The distance to the lowest polymorph of the same formula is 0 kJ/mol of formula units. The volume comes out at 35.46 Å³/atom. Its energy is -6.96 eV per atom.

a = 4.144 Å, b = 4.144 Å, c = 9.833 Å
α = 77.84°, β = 77.84°, γ = 60.00°
Site moments in Bohr magnetons follow the coordinates.
Element x y z (fractional)
1 Eu 0.500 0.500 0.500  7.00
2 Pm 0.722 0.722 0.834  0.05
3 Pm 0.278 0.278 0.166  0.05
4 Pt 0.000 0.000 0.000  0.01

***

[2]
Below is a relaxed structure of PmEu3Pt, with properties calculated at the PBE level.

Computed properties:
The crystal system is cubic. The calculation puts the size of the total moment at 4.285 μB/atom. As for the formation enthalpy at 0 K: -0.286 eV/atom. The volume comes out at 37.74 Å³/atom. Its energy is -8.61 eV per atom.

a = 5.736 Å, b = 5.736 Å, c = 5.736 Å
α = 90.00°, β = 90.00°, γ = 90.00°
Site moments in Bohr magnetons follow the coordinates.
Element x y z (fractional)
1 Eu 0.000 0.000 0.500  6.83
2 Eu 0.000 0.500 0.000  6.83
3 Eu 0.500 0.000 0.000  6.83
4 Pt 0.000 0.000 0.000  -0.11
5 Pm 0.500 0.500 0.500  0.13

***

[3]
Below is a relaxed structure of Pm2EuPt, with properties calculated at the PBE level.

Computed properties:
The crystal system is tetragonal. The calculation puts the size of the total moment at 2.066 μB/atom. As for the formation enthalpy at 0 K: -0.503 eV/atom. The distance to the lowest polymorph of the same formula is 1 kJ/mol of formula units. The volume comes out at 30.83 Å³/atom. Its energy is -6.96 eV per atom.

a = 3.669 Å, b = 3.669 Å, c = 9.162 Å
α = 90.00°, β = 90.00°, γ = 90.00°
Site moments in Bohr magnetons follow the coordinates.
Element x y z (fractional)
1 Eu 0.500 0.500 0.500  7.04
2 Pm 0.000 0.000 0.181  0.14
3 Pm 0.000 0.000 0.819  0.14
4 Pt 0.500 0.500 0.000  0.03